The following is a PBE calculation of a relaxed Ho2TmPbC crystal, from OQMD.

Lattice parameters (Å, degrees): 4.887 4.887 4.832 90.00 90.00 90.00
Fractional positions:
Tm  0.500  0.500  0.000
Ho  0.000  0.500  0.500
Ho  0.500  0.000  0.500
C  0.500  0.500  0.500
Pb  0.000  0.000  0.000

Properties
M_tot (μB per formula unit): 0.0
Raw total energy (eV per atom): -5.867
Space group: P4/mmm (123)
Volume (Å³ per atom): 23.08